Ru4SeCl: relaxed, PBE-GGA.

Cell: 5.245 5.245 5.245 Å, 60.00 60.00 60.00°
Site moments in Bohr magnetons follow the coordinates.
Fractional positions:
Ru 0.375 0.375 0.874  1.18
Cl 0.000 0.000 0.000  0.21
Ru 0.375 0.874 0.375  1.18
Se 0.750 0.750 0.750  0.04
Ru 0.375 0.375 0.375  1.18
Ru 0.874 0.375 0.375  1.18

## Properties
The value obtained for the density of states at the Fermi level is 1.643 states/eV per atom. For the energy, the calculation gives -5.964 eV/atom. The volume is 102.1 Å³ per cell. The total magnetization is 5.23 μB/cell.